[1]
Material: LiCe2TmS4
Method: DFT, GGA-PBE
State: relaxed

Results
calculated density = 5.6 g/cm3
size of the total moment = 0.2933 μB per atom
VASP energy = -6.23 eV/atom
ΔE_f (raw) = -1.881 eV per atom

Cell: 6.789 3.933 6.849 Å, 90.00 109.40 90.00°
Fractional positions:
1 Li 0.000 0.000 0.000
2 Ce 0.000 0.500 0.500
3 Ce 0.500 0.000 0.500
4 Tm 0.500 0.500 0.000
5 S 0.244 0.500 0.232
6 S 0.254 0.000 0.769
7 S 0.746 0.000 0.231
8 S 0.756 0.500 0.768

=====

[2]
Material: DyY2Ru
Method: DFT, GGA-PBE
State: relaxed

Results
calculated density = 6.9 g/cm3
size of the total moment = 0.0000 μB per atom
VASP energy = -6.88 eV/atom
E above lowest polymorph = 0.1346 eV per atom
DFT formation energy = -0.178 eV/atom

Cell: 3.443 3.443 8.916 Å, 90.00 90.00 90.00°
Fractional positions:
1 Dy 0.000 0.000 0.000
2 Y 0.500 0.500 0.315
3 Y 0.500 0.500 0.685
4 Ru 0.000 0.000 0.500

=====

[3]
Material: Pm3YRh
Method: DFT, GGA-PBE
State: relaxed

Results
calculated density = 6.7 g/cm3
size of the total moment = 0.0000 μB per atom
VASP energy = -5.88 eV/atom
E above lowest polymorph = 0.0000 eV per atom
DFT formation energy = -0.268 eV/atom

Cell: 7.483 7.483 7.483 Å, 101.70 120.92 106.47°
Fractional positions:
1 Pm 0.249 0.041 0.290
2 Pm 0.249 0.459 0.708
3 Pm 0.735 0.999 0.236
4 Pm 0.751 0.541 0.292
5 Pm 0.751 0.959 0.710
6 Pm 0.763 0.499 0.764
7 Y 0.229 0.501 0.228
8 Y 0.273 0.001 0.772
9 Rh 0.248 0.750 0.998
10 Rh 0.752 0.250 0.002

=====

> Which formula does entry 2 have?

DyY2Ru